1.
Density functional theory data (PBE) for crystalline PaP2Cl2O6 at its relaxed geometry.

Properties
Magnetic moment: 1.07 μB per cell
Crystal system: trigonal
DFT total energy: -6.951 eV/atom
SG: No. 166

POSCAR file:
```
PaP2Cl2O6
1.0
3.068 1.771 5.003
-3.068 1.771 5.003
0.000 -3.542 5.003
Pa P Cl O
1 2 2 6
direct
0.000 0.000 0.000 Pa
0.424 0.424 0.424 P
0.576 0.576 0.576 P
0.187 0.187 0.187 Cl
0.813 0.813 0.813 Cl
0.255 0.255 0.668 O
0.255 0.668 0.255 O
0.332 0.745 0.745 O
0.668 0.255 0.255 O
0.745 0.332 0.745 O
0.745 0.745 0.332 O
```

***

2.
Density functional theory data (PBE) for crystalline Tl2In4GaHg2 at its relaxed geometry.

Properties
Magnetic moment: 0.00 μB per cell
Formation enthalpy at 0 K: 4 kJ per mole of atoms
Crystal system: triclinic
DFT total energy: -2.107 eV/atom
SG: No. 2

POSCAR file:
```
Tl2In4GaHg2
1.0
6.691 0.000 0.000
3.130 6.025 0.000
2.525 1.788 6.167
Tl In Ga Hg
2 4 1 2
direct
0.243 0.227 0.175 Tl
0.757 0.773 0.825 Tl
0.207 0.334 0.666 In
0.287 0.816 0.635 In
0.713 0.184 0.365 In
0.793 0.666 0.334 In
0.000 0.000 0.000 Ga
0.350 0.666 0.214 Hg
0.650 0.334 0.786 Hg
```

***

3.
Density functional theory data (PBE) for crystalline TmSc3Cd at its relaxed geometry.

Properties
Magnetic moment: 2.25 μB per cell
Formation enthalpy at 0 K: -9 kJ per mole of atoms
Crystal system: monoclinic
DFT total energy: -4.965 eV/atom
Energy above the lowest structure with this stoichiometry: 0 meV per atom
SG: No. 12

POSCAR file:
```
TmSc3Cd
1.0
6.100 -1.706 0.000
6.100 1.706 0.000
-0.841 0.000 11.948
Tm Sc Cd
2 6 2
direct
0.238 0.238 0.262 Tm
0.762 0.762 0.738 Tm
0.032 0.032 0.683 Sc
0.149 0.149 0.943 Sc
0.366 0.366 0.518 Sc
0.634 0.634 0.482 Sc
0.851 0.851 0.057 Sc
0.968 0.968 0.317 Sc
0.443 0.443 0.875 Cd
0.557 0.557 0.125 Cd
```

***

4.
Density functional theory data (PBE) for crystalline TaHgTe2 at its relaxed geometry.

Properties
Magnetic moment: 0.00 μB per cell
Crystal system: monoclinic
DFT total energy: -4.610 eV/atom
SG: No. 15

POSCAR file:
```
TaHgTe2
1.0
4.171 -5.210 0.000
4.171 5.210 0.000
-2.504 0.000 5.911
Ta Hg Te
2 2 4
direct
0.040 0.960 0.750 Ta
0.960 0.040 0.250 Ta
0.318 0.682 0.750 Hg
0.682 0.318 0.250 Hg
0.164 0.337 0.077 Te
0.337 0.164 0.577 Te
0.663 0.836 0.423 Te
0.836 0.663 0.923 Te
```

***

5.
Density functional theory data (PBE) for crystalline KCu2Pt2 at its relaxed geometry.

Properties
Magnetic moment: 0.00 μB per cell
Formation enthalpy at 0 K: 12 kJ per mole of atoms
Crystal system: tetragonal
DFT total energy: -4.147 eV/atom
Energy above the lowest structure with this stoichiometry: 118 meV per atom
SG: No. 139

POSCAR file:
```
KCu2Pt2
1.0
-2.205 2.205 5.049
2.205 -2.205 5.049
2.205 2.205 -5.049
K Cu Pt
1 2 2
direct
0.000 0.000 0.000 K
0.250 0.750 0.500 Cu
0.750 0.250 0.500 Cu
0.374 0.374 0.000 Pt
0.626 0.626 0.000 Pt
```

***

6.
Density functional theory data (PBE) for crystalline La2PmCu2Sn2 at its relaxed geometry.

Properties
Magnetic moment: 0.00 μB per cell
Formation enthalpy at 0 K: -43 kJ per mole of atoms
Crystal system: trigonal
DFT total energy: -4.841 eV/atom
SG: No. 166

POSCAR file:
```
La2PmCu2Sn2
1.0
2.291 1.322 9.595
-2.291 1.322 9.595
0.000 -2.645 9.595
La Pm Cu Sn
2 1 2 2
direct
0.136 0.136 0.136 La
0.864 0.864 0.864 La
0.000 0.000 0.000 Pm
0.409 0.409 0.409 Cu
0.591 0.591 0.591 Cu
0.266 0.266 0.266 Sn
0.734 0.734 0.734 Sn
```